Model P:
YTiNi PBE-GGA optimized geometry; volume = 114.7 Å³/cell; total moment = 0.41 μB/atom; space group = P4/mmm
1.0
-0.165 0.937 4.514
-1.925 -1.587 -2.098
5.279 -9.175 2.097
Ni Y Ti
2 2 2
direct
0.694 0.388 0.000 Ni
0.195 0.389 0.500 Ni
0.695 0.389 0.339 Y
0.695 0.389 0.661 Y
0.194 0.389 0.877 Ti
0.194 0.389 0.123 Ti


Model Q:
YTiNi PBE-GGA optimized geometry; volume = 58.2 Å³/cell; total moment = 0.00 μB/atom; space group = I4mm
1.0
3.227 0.000 0.000
0.000 3.227 0.000
-1.613 -1.613 5.586
Y Ni Ti
1 1 1
direct
0.992 0.992 0.984 Y
0.296 0.296 0.593 Ni
0.712 0.712 0.423 Ti


Model R:
YTiNi PBE-GGA optimized geometry; volume = 118.0 Å³/cell; total moment = 0.00 μB/atom; space group = P4/nmm
1.0
-1.121 -3.577 -2.163
2.009 -2.425 2.969
-5.335 -0.342 3.331
Y Ti Ni
2 2 2
direct
0.000 0.500 0.871 Y
0.500 0.000 0.129 Y
0.500 0.500 0.500 Ti
0.000 0.000 0.500 Ti
0.000 0.500 0.312 Ni
0.500 0.000 0.688 Ni


Of them, model R has the highest stability.


Model P:
YTi2Ni2 PBE-GGA optimized geometry; volume = 167.4 Å³/cell; total moment = 0.00 μB/atom; space group = P4/mbm
1.0
-1.395 5.392 4.831
-6.669 -2.871 1.278
1.177 -1.725 2.265
Y Ni Ti
2 4 4
direct
0.000 0.000 0.000 Y
0.500 0.500 0.000 Y
0.378 0.878 0.000 Ni
0.878 0.622 0.000 Ni
0.622 0.122 0.000 Ni
0.122 0.378 0.000 Ni
0.155 0.655 0.500 Ti
0.655 0.845 0.500 Ti
0.845 0.345 0.500 Ti
0.345 0.155 0.500 Ti


Model Q:
YTi2Ni2 PBE-GGA optimized geometry; volume = 162.1 Å³/cell; total moment = 0.00 μB/atom; space group = P4/mbm
1.0
-0.888 6.428 3.728
-4.832 -3.352 4.629
2.183 -0.718 1.758
Y Ni Ti
2 4 4
direct
0.000 0.000 0.000 Y
0.500 0.500 0.000 Y
0.141 0.641 0.500 Ni
0.641 0.859 0.500 Ni
0.859 0.359 0.500 Ni
0.359 0.141 0.500 Ni
0.354 0.854 0.000 Ti
0.854 0.646 0.000 Ti
0.646 0.146 0.000 Ti
0.146 0.354 0.000 Ti


Model R:
YTi2Ni2 PBE-GGA optimized geometry; volume = 91.6 Å³/cell; total moment = 0.14 μB/atom; space group = I4/mmm
1.0
-4.136 0.378 -1.454
1.436 -0.257 -4.151
-1.825 -4.644 -2.675
Y Ni Ti
1 2 2
direct
0.000 0.000 0.000 Y
0.750 0.250 0.500 Ni
0.250 0.750 0.500 Ni
0.351 0.351 0.297 Ti
0.649 0.649 0.703 Ti


Model S:
YTi2Ni2 PBE-GGA optimized geometry; volume = 87.7 Å³/cell; total moment = 0.00 μB/atom; space group = I4/mmm
1.0
-0.190 -3.623 -2.150
4.180 0.106 -0.548
2.609 -4.278 2.842
Y Ni Ti
1 2 2
direct
0.000 0.000 0.000 Y
0.380 0.380 0.240 Ni
0.620 0.620 0.760 Ni
0.750 0.250 0.500 Ti
0.250 0.750 0.500 Ti


Of them, model S has the highest stability.


Model P:
Y2TiNi PBE-GGA optimized geometry; volume = 186.3 Å³/cell; total moment = 0.34 μB/atom; space group = I-42d
1.0
-1.980 4.220 -6.320
-7.478 0.082 2.397
-4.208 4.698 -0.424
Y Ni Ti
4 2 2
direct
0.678 0.125 0.250 Y
0.072 0.625 0.250 Y
0.375 0.322 0.750 Y
0.875 0.928 0.750 Y
0.000 0.000 0.000 Ni
0.750 0.250 0.500 Ni
0.500 0.500 0.000 Ti
0.250 0.750 0.500 Ti


Model Q:
Y2TiNi PBE-GGA optimized geometry; volume = 88.1 Å³/cell; total moment = 0.70 μB/atom; space group = Fm-3m
1.0
-2.103 1.209 4.366
-3.488 3.570 0.189
-4.763 -1.207 0.898
Y Ni Ti
2 1 1
direct
0.250 0.250 0.250 Y
0.750 0.750 0.750 Y
0.500 0.500 0.500 Ni
0.000 0.000 0.000 Ti


Of them, model Q has the highest stability.


Model P:
Y3TiNi PBE-GGA optimized geometry; volume = 142.5 Å³/cell; total moment = 0.00 μB/atom; space group = Pm-3m
1.0
-0.053 -1.760 -4.917
2.711 -4.212 1.479
-4.464 -2.538 0.956
Y Ni Ti
3 1 1
direct
0.000 0.500 0.000 Y
0.000 0.000 0.500 Y
0.500 0.000 0.000 Y
0.500 0.500 0.500 Ni
0.000 0.000 0.000 Ti


Model Q:
Y3TiNi PBE-GGA optimized geometry; volume = 142.8 Å³/cell; total moment = 0.54 μB/atom; space group = Pm-3m
1.0
-2.692 4.199 1.564
-4.450 -2.290 -1.511
-0.529 -2.109 4.754
Y Ni Ti
3 1 1
direct
0.000 0.500 0.000 Y
0.000 0.000 0.500 Y
0.500 0.000 0.000 Y
0.000 0.000 0.000 Ni
0.500 0.500 0.500 Ti


Of them, model Q has the highest stability.


Model P:
Ti4ZnNi PBE-GGA optimized geometry; volume = 105.5 Å³/cell; total moment = 0.00 μB/atom; space group = R-3m
1.0
-3.772 1.733 -0.860
-3.315 -0.776 2.529
-0.750 5.705 4.331
Ti Zn Ni
4 1 1
direct
0.630 0.630 0.110 Ti
0.370 0.370 0.890 Ti
0.119 0.119 0.643 Ti
0.881 0.881 0.357 Ti
0.500 0.500 0.500 Zn
0.000 0.000 0.000 Ni


Model Q:
Ti4ZnNi PBE-GGA optimized geometry; volume = 93.2 Å³/cell; total moment = 0.00 μB/atom; space group = P4/mmm
1.0
-2.415 1.311 1.184
-0.669 -2.535 1.443
5.687 3.130 8.134
Ti Zn Ni
4 1 1
direct
0.500 0.500 0.173 Ti
0.000 0.000 0.650 Ti
0.000 0.000 0.350 Ti
0.500 0.500 0.827 Ti
0.000 0.000 0.000 Zn
0.500 0.500 0.500 Ni


Of them, model Q has the highest stability.


Model P:
TiZn2Ni8 PBE-GGA optimized geometry; volume = 136.0 Å³/cell; total moment = 0.14 μB/atom; space group = Cmmm
1.0
3.855 0.217 -0.141
-0.396 5.710 -1.956
0.201 0.335 6.036
Ti Zn Ni
1 2 8
direct
0.500 0.000 0.000 Ti
0.000 0.625 0.375 Zn
0.000 0.375 0.625 Zn
0.999 0.963 0.698 Ni
0.999 0.698 0.963 Ni
0.500 0.669 0.669 Ni
0.500 0.244 0.756 Ni
0.500 0.756 0.244 Ni
0.500 0.331 0.331 Ni
0.001 0.302 0.037 Ni
0.001 0.037 0.302 Ni


Model Q:
TiZn2Ni8 PBE-GGA optimized geometry; volume = 134.0 Å³/cell; total moment = 0.00 μB/atom; space group = C2/m
1.0
4.104 1.433 0.000
2.403 6.107 0.000
1.201 3.053 6.201
Ti Zn Ni
1 2 8
direct
0.500 0.000 0.000 Ti
0.000 0.314 0.372 Zn
0.000 0.686 0.628 Zn
0.772 0.105 0.263 Ni
0.772 0.368 0.737 Ni
0.265 0.481 0.000 Ni
0.500 0.806 0.389 Ni
0.500 0.194 0.611 Ni
0.735 0.519 0.000 Ni
0.228 0.632 0.263 Ni
0.228 0.895 0.737 Ni


Of them, model Q has the highest stability.


Model P:
TiZn3Ni PBE-GGA optimized geometry; volume = 212.7 Å³/cell; total moment = 0.00 μB/atom; space group = Pm-3m
1.0
-2.368 4.427 3.230
-5.323 -2.695 -0.208
1.304 -2.962 5.016
Ti Zn Ni
3 9 3
direct
0.000 0.500 0.500 Ti
0.500 0.000 0.500 Ti
0.500 0.500 0.000 Ti
0.500 0.500 0.500 Zn
0.225 0.225 0.225 Zn
0.775 0.775 0.225 Zn
0.775 0.225 0.775 Zn
0.225 0.775 0.775 Zn
0.225 0.225 0.775 Zn
0.775 0.775 0.775 Zn
0.225 0.775 0.225 Zn
0.775 0.225 0.225 Zn
0.500 0.000 0.000 Ni
0.000 0.500 0.000 Ni
0.000 0.000 0.500 Ni


Model Q:
TiZn3Ni PBE-GGA optimized geometry; volume = 86.1 Å³/cell; total moment = 0.00 μB/atom; space group = Pm-3m
1.0
-3.073 -3.045 0.880
3.103 -3.141 -0.034
0.649 0.594 4.326
Ni Zn Ti
1 3 1
direct
0.000 0.000 0.000 Ni
0.000 0.500 0.000 Zn
0.000 0.000 0.500 Zn
0.500 0.000 0.000 Zn
0.500 0.500 0.500 Ti


Of them, model P has the highest stability.


Model P:
TiZnNi6 PBE-GGA optimized geometry; volume = 93.1 Å³/cell; total moment = 0.07 μB/atom; space group = P-6m2
1.0
-2.040 0.805 -3.466
0.411 -4.911 -1.382
-4.035 1.558 2.737
Ti Zn Ni
1 1 6
direct
0.500 0.417 0.583 Ti
0.000 0.083 0.917 Zn
0.000 0.076 0.413 Ni
0.000 0.587 0.924 Ni
0.000 0.587 0.413 Ni
0.500 0.420 0.085 Ni
0.500 0.915 0.580 Ni
0.500 0.915 0.085 Ni


Model Q:
TiZnNi6 PBE-GGA optimized geometry; volume = 92.7 Å³/cell; total moment = 0.12 μB/atom; space group = P4/mmm
1.0
3.554 0.000 0.000
0.000 5.108 -0.033
0.000 0.032 5.108
Ti Zn Ni
1 1 6
direct
0.500 0.500 0.500 Ti
0.500 0.000 0.000 Zn
0.000 0.750 0.250 Ni
0.000 0.250 0.750 Ni
0.000 0.750 0.750 Ni
0.000 0.250 0.250 Ni
0.500 0.500 0.000 Ni
0.500 0.000 0.500 Ni


Of them, model Q has the highest stability.